! TaSb2Te | Alexandria via LeMat-Bulk | meta-GGA SCAN | PBEsol geometry; values from VASP
! Magnetization   0.00 Bohr magnetons per cell
! Energy relative to the elements, uncorrected   7.8 kcal/mol of atoms
! Density of states at the Fermi level   3.6 states/eV per cell
&SYSTEM
  ibrav = 0, nat = 4, ntyp = 3
/
ATOMIC_SPECIES
Sb 121.76 Sb.upf
Ta 180.95 Ta.upf
Te 127.60 Te.upf
CELL_PARAMETERS angstrom
3.4162 0.0000 0.0000
0.0000 4.7123 0.0000
-1.7081 -2.3561 6.1341
ATOMIC_POSITIONS angstrom
Sb 1.7081 2.3561 3.7913
Sb 0.0000 0.0000 2.3428
Ta 1.7081 0.0000 0.0000
Te 0.0000 2.3561 0.0000

=====

! TaTiSbTe2 | Alexandria via LeMat-Bulk | meta-GGA SCAN | PBEsol geometry; values from VASP
! Magnetization   2.44 Bohr magnetons per cell
! Energy relative to the elements, uncorrected   14.4 kcal/mol of atoms
! Density of states at the Fermi level   3.3 states/eV per cell
&SYSTEM
  ibrav = 0, nat = 5, ntyp = 4
/
ATOMIC_SPECIES
Sb 121.76 Sb.upf
Te 127.60 Te.upf
Ti 47.87 Ti.upf
Ta 180.95 Ta.upf
CELL_PARAMETERS angstrom
-2.9691 -4.3919 -0.0022
4.0523 -2.7385 -2.0729
1.7162 -1.1626 4.8909
ATOMIC_POSITIONS angstrom
Sb -1.4846 -2.1959 -0.0011
Te 0.8581 -0.5813 2.4454
Te 2.0261 -1.3693 -1.0365
Ti 1.3997 -4.1465 1.4079
Ta 0.0000 0.0000 0.0000